Compound: CuSn2Ru
Source: the Alexandria database
Functional: PBE-GGA
Structure: relaxed

The energy comes out at -20.62 eV/f.u. The energy above the most stable polymorph in this dataset comes out at 11 meV/atom.

```
data_CuSn2Ru
_chemical_formula_sum 'Cu3 Sn6 Ru3'
_cell_length_a 3.2376
_cell_length_b 3.2376
_cell_length_c 27.1697
_cell_angle_alpha 90.00
_cell_angle_beta 90.00
_cell_angle_gamma 120.00
_space_group_name_H-M_alt 'R -3 m'
_space_group_IT_number 166
_space_group_name_Hall '-R 3 2"'
loop_
_atom_site_label
_atom_site_fract_x
_atom_site_fract_y
_atom_site_fract_z
Cu1 0.0000 0.0000 0.0000
Sn1 0.0000 0.0000 0.0937
Ru1 0.0000 0.0000 0.5000
```


Compound: CuSn2Ru
Source: the Alexandria database
Functional: PBE-GGA
Structure: relaxed

The energy comes out at -20.66 eV/f.u. The energy above the most stable polymorph in this dataset comes out at 0 meV/atom.

```
data_CuSn2Ru
_chemical_formula_sum 'Cu4 Sn8 Ru4'
_cell_length_a 6.572
_cell_length_b 6.572
_cell_length_c 6.572
_cell_angle_alpha 90.00
_cell_angle_beta 90.00
_cell_angle_gamma 90.00
_space_group_name_H-M_alt 'F m -3 m'
_space_group_IT_number 225
_space_group_name_Hall '-F 4 2 3'
loop_
_atom_site_label
_atom_site_fract_x
_atom_site_fract_y
_atom_site_fract_z
Cu1 0.000 0.000 0.000
Sn1 0.250 0.250 0.250
Ru1 0.000 0.000 0.500
```


Compound: CuSn4Ru
Source: the Alexandria database
Functional: PBE-GGA
Structure: relaxed

The energy comes out at -29.97 eV/f.u.

```
data_CuSn4Ru
_chemical_formula_sum 'Cu4 Sn16 Ru4'
_cell_length_a 6.678
_cell_length_b 6.678
_cell_length_c 11.183
_cell_angle_alpha 90.00
_cell_angle_beta 90.00
_cell_angle_gamma 90.00
_space_group_name_H-M_alt 'I 4/m c m'
_space_group_IT_number 140
_space_group_name_Hall '-I 4 2c'
loop_
_atom_site_label
_atom_site_fract_x
_atom_site_fract_y
_atom_site_fract_z
Cu1 0.000 0.000 0.000
Sn1 0.159 0.341 0.135
Ru1 0.000 0.000 0.250
```


Compound: CuSn3Ru
Source: the Alexandria database
Functional: PBE-GGA
Structure: relaxed

The energy comes out at -23.44 eV/f.u. The energy above the most stable polymorph in this dataset comes out at 0 meV/atom.

```
data_CuSn3Ru
_chemical_formula_sum 'Cu1 Sn3 Ru1'
_cell_length_a 5.109
_cell_length_b 5.109
_cell_length_c 5.109
_cell_angle_alpha 90.00
_cell_angle_beta 90.00
_cell_angle_gamma 90.00
_space_group_name_H-M_alt 'P m -3 m'
_space_group_IT_number 221
_space_group_name_Hall '-P 4 2 3'
loop_
_atom_site_label
_atom_site_fract_x
_atom_site_fract_y
_atom_site_fract_z
Cu1 0.000 0.000 0.000
Sn1 0.000 0.500 0.500
Ru1 0.500 0.500 0.500
```


Compound: CuSn2Ru
Source: the Alexandria database
Functional: PBE-GGA
Structure: relaxed

The energy comes out at -19.52 eV/f.u. The energy above the most stable polymorph in this dataset comes out at 286 meV/atom.

```
data_CuSn2Ru
_chemical_formula_sum 'Cu4 Sn8 Ru4'
_cell_length_a 7.287
_cell_length_b 7.287
_cell_length_c 5.904
_cell_angle_alpha 90.00
_cell_angle_beta 90.00
_cell_angle_gamma 90.00
_space_group_name_H-M_alt 'I -4 2 d'
_space_group_IT_number 122
_space_group_name_Hall 'I -4 2bw'
loop_
_atom_site_label
_atom_site_fract_x
_atom_site_fract_y
_atom_site_fract_z
Cu1 0.000 0.000 0.000
Sn1 0.247 0.250 0.125
Ru1 0.000 0.000 0.500
```


Compound: CuSnRu
Source: the Alexandria database
Functional: PBE-GGA
Structure: relaxed

The energy comes out at -17.00 eV/f.u. The energy above the most stable polymorph in this dataset comes out at 0 meV/atom.

```
data_CuSnRu
_chemical_formula_sum 'Cu2 Sn2 Ru2'
_cell_length_a 3.340
_cell_length_b 3.340
_cell_length_c 8.461
_cell_angle_alpha 90.00
_cell_angle_beta 90.00
_cell_angle_gamma 90.00
_space_group_name_H-M_alt 'I 4 m m'
_space_group_IT_number 107
_space_group_name_Hall 'I 4 -2'
loop_
_atom_site_label
_atom_site_fract_x
_atom_site_fract_y
_atom_site_fract_z
Cu1 0.000 0.000 0.000
Sn1 0.000 0.000 0.329
Ru1 0.000 0.000 0.662
```


Compound: CuSn3Ru
Source: the Alexandria database
Functional: PBE-GGA
Structure: relaxed

The energy comes out at -20.96 eV/f.u. The energy above the most stable polymorph in this dataset comes out at 495 meV/atom.

```
data_CuSn3Ru
_chemical_formula_sum 'Cu1 Sn3 Ru1'
_cell_length_a 4.947
_cell_length_b 4.947
_cell_length_c 4.947
_cell_angle_alpha 90.00
_cell_angle_beta 90.00
_cell_angle_gamma 90.00
_space_group_name_H-M_alt 'P m -3 m'
_space_group_IT_number 221
_space_group_name_Hall '-P 4 2 3'
loop_
_atom_site_label
_atom_site_fract_x
_atom_site_fract_y
_atom_site_fract_z
Cu1 0.000 0.000 0.000
Sn1 0.000 0.000 0.500
Ru1 0.500 0.500 0.500
```


Compound: CuSnRu
Source: the Alexandria database
Functional: PBE-GGA
Structure: relaxed

The energy comes out at -16.92 eV/f.u. The energy above the most stable polymorph in this dataset comes out at 29 meV/atom.

```
data_CuSnRu
_chemical_formula_sum 'Cu1 Sn1 Ru1'
_cell_length_a 4.2743
_cell_length_b 4.2743
_cell_length_c 3.0019
_cell_angle_alpha 90.00
_cell_angle_beta 90.00
_cell_angle_gamma 120.00
_space_group_name_H-M_alt 'P 3 m 1'
_space_group_IT_number 156
_space_group_name_Hall 'P 3 -2"'
loop_
_atom_site_label
_atom_site_fract_x
_atom_site_fract_y
_atom_site_fract_z
Cu1 0.0000 0.0000 0.0000
Sn1 0.6667 0.3333 0.8223
Ru1 0.3333 0.6667 0.4021
```


M_tot in μB/f.u., matching the order above: 0.00, 0.00, 0.00, 0.00, 0.00, 0.00, 1.40, 0.00
ΔH_f (0 K) in eV per atom, matching the order above: 0.190, 0.179, -0.098, 0.389, 0.464, 0.124, 0.885, 0.153